DFT (GGA-PBE) results for La2AsPd2 after structural relaxation.

Cell and atoms, written as extended XYZ:
```
10
Lattice="-7.1833 -3.8102 -1.5667 3.5523 -7.3234 1.5236 -0.9502 0.2958 3.6373" Properties=species:S:1:pos:R:3 pbc="T T T"
As 0.0000 0.0000 0.0000
As -1.8155 -5.5668 -0.0216
Pd 0.8696 -4.8367 2.5753
Pd -1.7901 -8.6632 2.1916
Pd -5.4508 -6.0011 1.0188
Pd -2.7911 -2.1747 1.4025
La 0.6039 -7.2561 0.7478
La -3.5052 -8.0943 -0.2575
La -4.2349 -3.8775 -0.7910
La -0.1258 -3.0393 0.2143
```

Values from the calculation:
**Energy above the most stable polymorph in this dataset**: 238 meV/atom
**D(E_F)**: 9.283 states/eV per cell
**ΔE_f**: -0.7019 eV/atom
**Crystal system**: tetragonal

DFT (GGA-PBE) results for GeH4NF3 after structural relaxation.

Cell and atoms, written as extended XYZ:
```
36
Lattice="8.3115 0.1839 0.0876 -0.2496 7.0316 -0.1240 -4.6141 -0.2021 7.9019" Properties=species:S:1:pos:R:3 pbc="T T T"
F 5.2185 1.1413 1.3907
F -0.6362 0.3327 6.1420
F 0.9311 4.6464 2.3943
F 3.4409 3.8099 5.0293
F 2.3401 4.3462 0.1131
F 2.1665 4.2038 7.3631
F 4.6001 1.2093 4.0261
F 0.0486 0.2250 3.5211
F 0.9180 6.6171 0.5249
F 3.4201 1.8530 6.9043
F 5.4968 3.4172 2.7116
F -1.1540 5.0782 4.7128
Ge 4.0767 2.1651 2.4797
Ge 0.2714 6.3163 4.9739
Ge 2.2296 5.6465 1.4617
Ge 2.1193 2.8919 6.0207
N 6.3832 5.8915 1.7341
N 4.6054 6.1856 5.7672
N -0.2634 2.2939 1.6654
N -2.0428 2.6286 5.7417
H -1.0982 6.0272 2.1706
H 6.6632 5.4829 0.8204
H 5.7492 6.7083 1.5839
H 5.9154 5.1371 2.2679
H -3.7878 6.2294 6.6929
H -2.7155 5.7954 5.4574
H 4.3085 6.9850 5.1793
H 4.0409 5.3381 5.5422
H 0.0363 1.4990 2.2575
H 0.3065 3.1411 1.8807
H 7.0593 2.6914 1.9778
H -0.1876 2.0566 0.6539
H -1.4246 1.7944 5.8594
H -2.2540 3.0531 6.6670
H -2.9123 2.3355 5.2710
H -1.5845 3.3643 5.1747
```

Values from the calculation:
**Energy above the most stable polymorph in this dataset**: 0 meV/atom
**D(E_F)**: 0.000 states/eV per cell
**Crystal system**: triclinic

DFT (GGA-PBE) results for TeRh4 after structural relaxation.

Cell and atoms, written as extended XYZ:
```
5
Lattice="4.7761 0.0000 0.0000 0.0000 4.7761 0.0000 0.0000 0.0000 4.7761" Properties=species:S:1:pos:R:3 pbc="T T T"
Te 2.3880 2.3880 2.3880
Rh 0.0000 0.0000 0.0000
Rh 2.3880 0.0000 2.3880
Rh 0.0000 2.3880 2.3880
Rh 2.3880 2.3880 0.0000
```

Values from the calculation:
**Energy above the most stable polymorph in this dataset**: 1234 meV/atom
**D(E_F)**: 6.453 states/eV per cell
**Crystal system**: cubic
**Raw formation energy**: 1.25 eV per atom

> Which of these has the highest D(E_F)?

La2AsPd2

> The highest D(E_F) belongs to which entry?

La2AsPd2

> The highest energy above the most stable polymorph in this dataset belongs to which entry?

TeRh4

> The highest D(E_F) belongs to which entry?

La2AsPd2